Record 1
The following is a GGA-PBE calculation of a relaxed KHoPuF6 crystal, from Alexandria via LeMat-Bulk.

Lattice parameters (Å, degrees): 6.4769 6.4769 9.4569 90.00 90.00 120.00
Closest atoms and distances in Å follow each position.
Atoms (fractional coordinates):
K1 0.0000 0.0000 0.0000  6 F 2.71
K2 0.0000 0.0000 0.5000  6 F 2.71
F1 0.0292 0.6472 0.8642  1 Ho 2.19, 1 Pu 2.46
F2 0.3528 0.9708 0.6358  1 Ho 2.19, 1 Pu 2.46
F3 0.3528 0.3820 0.8642  1 Ho 2.19, 1 Pu 2.46
F4 0.9708 0.3528 0.1358  1 Ho 2.19, 1 Pu 2.46
F5 0.6472 0.6180 0.1358  1 Ho 2.19, 1 Pu 2.46
F6 0.3820 0.0292 0.1358  1 Ho 2.19, 1 Pu 2.46
F7 0.6180 0.9708 0.8642  1 Ho 2.19, 1 Pu 2.46
F8 0.6180 0.6472 0.6358  1 Ho 2.19, 1 Pu 2.46
F9 0.9708 0.6180 0.3642  1 Ho 2.19, 1 Pu 2.46
F10 0.3820 0.3528 0.3642  1 Ho 2.19, 1 Pu 2.46
F11 0.6472 0.0292 0.3642  1 Ho 2.19, 1 Pu 2.46
F12 0.0292 0.3820 0.6358  1 Ho 2.19, 1 Pu 2.46
Ho1 0.3333 0.6667 0.7500  6 F 2.19
Ho2 0.6667 0.3333 0.2500  6 F 2.19
Pu1 0.6667 0.3333 0.7500  6 F 2.46
Pu2 0.3333 0.6667 0.2500  6 F 2.46

Output
**Space-group type**: P-31c (163)
**DOS(E_F)**: 20.2 states/eV/cell
**Total moment**: 5.88 μB per formula unit
**Volume**: 19.1 Å³ per atom
**Crystal system**: trigonal
**Formation energy from raw total energies**: -3.43 eV/atom

Record 2
The following is a GGA-PBE calculation of a relaxed LiRe3 crystal, from Alexandria via LeMat-Bulk.

Lattice parameters (Å, degrees): 5.3822 5.3822 4.4815 90.00 90.00 120.00
Closest atoms and distances in Å follow each position.
Atoms (fractional coordinates):
Re1 0.3377 0.1689 0.2500  8 Re 2.66-2.74, 4 Li 2.69-2.72
Re2 0.8311 0.1689 0.2500  8 Re 2.66-2.74, 4 Li 2.69-2.72
Re3 0.6623 0.8311 0.7500  8 Re 2.66-2.74, 4 Li 2.69-2.72
Re4 0.1689 0.3377 0.7500  8 Re 2.66-2.74, 4 Li 2.69-2.72
Re5 0.8311 0.6623 0.2500  8 Re 2.66-2.74, 4 Li 2.69-2.72
Re6 0.1689 0.8311 0.7500  8 Re 2.66-2.74, 4 Li 2.69-2.72
Li1 0.6667 0.3333 0.7500  12 Re 2.69-2.72
Li2 0.3333 0.6667 0.2500  12 Re 2.69-2.72

Output
**Space-group type**: P6_3/mmc (194)
**Offset from the most stable computed form**: 41.9 kJ/mol of formula units
**DOS(E_F)**: 7.1 states/eV/cell
**Total moment**: 0.00 μB per formula unit
**ΔH_f (0 K)**: 0.29 eV per atom
**Volume**: 14.1 Å³ per atom
**Crystal system**: hexagonal

Record 3
The following is a GGA-PBE calculation of a relaxed Pu2Tl5F12 crystal, from Alexandria via LeMat-Bulk.

Lattice parameters (Å, degrees): 8.2729 8.6441 7.0470 117.27 90.00 118.59
Closest atoms and distances in Å follow each position.
Atoms (fractional coordinates):
Tl1 0.0000 0.0000 0.5000  6 F 2.89-2.96
Tl2 0.7577 0.5154 0.3856  4 F 2.61-2.75
Tl3 0.6896 0.3793 0.8010  1 F 2.60
Tl4 0.2423 0.4846 0.6144  4 F 2.61-2.75
Tl5 0.3104 0.6207 0.1990  1 F 2.60
F1 0.5767 0.1535 0.9784  2 Pu 2.43, 3 F 2.50-2.67, 1 Tl 2.60
F2 0.1775 0.7583 0.6354  1 Pu 2.29
F3 0.3164 0.2266 0.8884  1 Pu 2.26
F4 0.5807 0.7583 0.6354  1 Pu 2.29
F5 0.9222 0.8444 0.8078  2 Pu 2.40, 3 F 2.50-2.68
F6 0.6836 0.7734 0.1116  1 Pu 2.26
F7 0.8225 0.2417 0.3646  1 Pu 2.29
F8 0.4233 0.8465 0.0216  2 Pu 2.43, 3 F 2.50-2.67, 1 Tl 2.60
F9 0.0778 0.1556 0.1922  2 Pu 2.40, 3 F 2.50-2.68
F10 0.0898 0.7734 0.1116  1 Pu 2.26
F11 0.4193 0.2417 0.3646  1 Pu 2.29
F12 0.9102 0.2266 0.8884  1 Pu 2.26
Pu1 0.2476 0.0000 0.0000  8 F 2.26-2.43
Pu2 0.7524 0.0000 0.0000  8 F 2.26-2.43

Output
**Space-group type**: C2/m (12)
**Offset from the most stable computed form**: 16.4 kJ/mol of formula units
**DOS(E_F)**: 25.2 states/eV/cell
**Total moment**: 9.00 μB per formula unit
**Volume**: 19.9 Å³ per atom
**Crystal system**: monoclinic
**Formation energy from raw total energies**: -2.62 eV/atom

Record 4
The following is a GGA-PBE calculation of a relaxed CaSc2Al crystal, from Alexandria via LeMat-Bulk.

Lattice parameters (Å, degrees): 10.5780 10.5780 10.5780 18.53 18.53 18.53
Closest atoms and distances in Å follow each position.
Atoms (fractional coordinates):
Sc1 0.5152 0.5152 0.5152  3 Al 2.89
Sc2 0.9848 0.9848 0.9848  3 Al 2.89
Al1 0.2500 0.2500 0.2500  6 Sc 2.89
Ca1 0.7500 0.7500 0.7500  6 Ca 3.41, 6 Sc 3.65

Output
**Space-group type**: R-3m (166)
**DOS(E_F)**: 4.6 states/eV/cell
**Total moment**: 0.00 μB per formula unit
**ΔH_f (0 K)**: 0.02 eV per atom
**Volume**: 26.1 Å³ per atom
**Crystal system**: trigonal